## Ca2PPdRh (PBE)

Data for an optimized crystal structure of Ca2PPdRh.

Values from the calculation:
- V (Å³ per atom) = 25.10
- crystal system = tetragonal
- formation energy (eV per atom) = -0.408

```
5
Lattice="5.416 0.000 0.000 0.000 5.416 0.000 0.000 0.000 4.278" Properties=species:S:1:pos:R:3 pbc="T T T"
Ca 0.000 2.708 0.000
Ca 2.708 0.000 0.000
P 0.000 0.000 0.000
Pd 2.708 2.708 2.139
Rh 0.000 0.000 2.139
```